Entry 1:
VASP calculation (GGA-PBEsol) on a geometry-optimized ErPt structure.

ΔE_f = -1280 meV/atom
M_tot = 0.0 μB/f.u.
space group = Pnma (62)
DOS at the Fermi energy = 1.0 states/eV/f.u.
electronic total energy = -7.2249 eV per atom

a b c (Å): 6.770 4.468 5.456
angles (deg): 90.00 90.00 90.00
Positions (direct):
Er1 0.181 0.250 0.142
Er2 0.319 0.750 0.642
Er3 0.681 0.250 0.358
Er4 0.819 0.750 0.858
Pt1 0.043 0.250 0.656
Pt2 0.457 0.750 0.156
Pt3 0.543 0.250 0.844
Pt4 0.957 0.750 0.344

Entry 2:
VASP calculation (GGA-PBEsol) on a geometry-optimized Er3Pt structure.

ΔE_f = -712 meV/atom
M_tot = 0.0 μB/f.u.
space group = Pnma (62)
DOS at the Fermi energy = 4.1 states/eV/f.u.
electronic total energy = -6.1484 eV per atom

a b c (Å): 6.867 9.262 6.348
angles (deg): 90.00 90.00 90.00
Positions (direct):
Er1 0.024 0.250 0.124
Er2 0.182 0.059 0.680
Er3 0.182 0.441 0.680
Er4 0.318 0.559 0.180
Er5 0.318 0.941 0.180
Er6 0.476 0.750 0.624
Er7 0.524 0.250 0.376
Er8 0.682 0.059 0.820
Er9 0.682 0.441 0.820
Er10 0.818 0.559 0.320
Er11 0.818 0.941 0.320
Er12 0.976 0.750 0.876
Pt1 0.108 0.750 0.454
Pt2 0.392 0.250 0.954
Pt3 0.608 0.750 0.046
Pt4 0.892 0.250 0.546

Entry 3:
VASP calculation (GGA-PBEsol) on a geometry-optimized Er2RuPt structure.

ΔE_f = -809 meV/atom
M_tot = 0.0 μB/f.u.
space group = I4/mmm (139)
DOS at the Fermi energy = 1.6 states/eV/f.u.
electronic total energy = -7.5562 eV per atom

a b c (Å): 4.741 4.741 4.741
angles (deg): 119.77 119.77 90.39
Positions (direct):
Er1 0.250 0.750 0.500
Er2 0.750 0.250 0.500
Ru1 0.000 0.000 0.000
Pt1 0.500 0.500 0.000

Entry 4:
VASP calculation (GGA-PBEsol) on a geometry-optimized ErSi2Pt2 structure.

M_tot = 0.0 μB/f.u.
space group = Cmme (67)
DOS at the Fermi energy = 2.5 states/eV/f.u.
electronic total energy = -7.1961 eV per atom

a b c (Å): 4.109 4.109 9.875
angles (deg): 90.00 90.00 91.25
Positions (direct):
Er1 0.250 0.750 0.752
Er2 0.750 0.250 0.248
Si1 0.250 0.250 0.000
Si2 0.250 0.750 0.364
Si3 0.750 0.250 0.636
Si4 0.750 0.750 0.000
Pt1 0.250 0.250 0.500
Pt2 0.250 0.750 0.126
Pt3 0.750 0.250 0.874
Pt4 0.750 0.750 0.500